Computed, not measured: a relaxed Rb2GaFeF6 crystal at the PBE with a Hubbard U level of DFT.

Properties
E_tot: -4.657 eV per atom
V: 15.88 Å³ per atom
Crystal system: tetragonal
Space-group type: No. 139
Fermi-level density of states: 3.86 states/eV per cell
Magnetic moment: 3.2 Bohr magnetons per cell

Cell lengths 6.099, 6.099, 6.068 Å; angles 59.83, 59.83, 90.00 degrees
Atoms (fractional coordinates):
F: 0.250 0.750 0.000
F: 0.260 0.260 0.480
F: 0.250 0.250 0.000
F: 0.740 0.740 0.520
F: 0.750 0.750 0.000
F: 0.750 0.250 0.000
Rb: 0.250 0.750 0.500
Rb: 0.750 0.250 0.500
Ga: 0.000 0.000 0.000
Fe: 0.500 0.500 0.000